Record 1
Compound: NaFePdS3
Source: OQMD via LeMat-Bulk
Functional: PBE
Structure: optimized geometry

Properties
SG ... P2_1/m (11)
Total DFT energy (no corrections) ... -59.5 eV/cell

Cell lengths 7.211, 3.481, 8.781 Å; angles 90.00, 104.80, 90.00 degrees
Sites, in units of the cell vectors:
Na (0.214, 0.250, 0.258)
Na (0.786, 0.750, 0.742)
Fe (0.330, 0.750, 0.844)
Fe (0.670, 0.250, 0.156)
Pd (0.123, 0.250, 0.592)
Pd (0.877, 0.750, 0.408)
S (0.128, 0.250, 0.869)
S (0.331, 0.750, 0.587)
S (0.446, 0.750, 0.118)
S (0.554, 0.250, 0.882)
S (0.669, 0.250, 0.413)
S (0.872, 0.750, 0.131)

---

Record 2
Compound: Al5W7
Source: OQMD via LeMat-Bulk
Functional: PBE
Structure: optimized geometry

Properties
SG ... P6_3/mmc (194)
Total DFT energy (no corrections) ... -212.2 eV/cell
ΔE to the lowest computed polymorph ... 0.0800 eV per atom

Cell lengths 5.146, 5.146, 17.218 Å; angles 90.00, 90.00, 120.00 degrees
Sites, in units of the cell vectors:
Al (0.000, 0.000, 0.088)
Al (0.000, 0.000, 0.412)
Al (0.000, 0.000, 0.588)
Al (0.000, 0.000, 0.912)
Al (0.162, 0.325, 0.250)
Al (0.162, 0.838, 0.250)
Al (0.325, 0.162, 0.750)
Al (0.675, 0.838, 0.250)
Al (0.838, 0.162, 0.750)
Al (0.838, 0.675, 0.750)
W (0.000, 0.500, 0.000)
W (0.000, 0.500, 0.500)
W (0.333, 0.667, 0.128)
W (0.333, 0.667, 0.372)
W (0.333, 0.667, 0.649)
W (0.333, 0.667, 0.851)
W (0.500, 0.000, 0.000)
W (0.500, 0.000, 0.500)
W (0.500, 0.500, 0.000)
W (0.500, 0.500, 0.500)
W (0.667, 0.333, 0.149)
W (0.667, 0.333, 0.351)
W (0.667, 0.333, 0.628)
W (0.667, 0.333, 0.872)

---

Record 3
Compound: K3OsIF6
Source: OQMD via LeMat-Bulk
Functional: PBE
Structure: optimized geometry

Properties
SG ... P4/mbm (127)
Total DFT energy (no corrections) ... -97.8 eV/cell

Cell lengths 8.055, 8.055, 6.006 Å; angles 90.00, 90.00, 90.00 degrees
Sites, in units of the cell vectors:
K (0.000, 0.000, 0.000)
K (0.155, 0.345, 0.500)
K (0.345, 0.845, 0.500)
K (0.500, 0.500, 0.000)
K (0.655, 0.155, 0.500)
K (0.845, 0.655, 0.500)
Os (0.000, 0.500, 0.000)
Os (0.500, 0.000, 0.000)
I (0.000, 0.000, 0.500)
I (0.500, 0.500, 0.500)
F (0.119, 0.619, 0.241)
F (0.119, 0.619, 0.759)
F (0.171, 0.329, 0.000)
F (0.329, 0.829, 0.000)
F (0.381, 0.119, 0.241)
F (0.381, 0.119, 0.759)
F (0.619, 0.881, 0.241)
F (0.619, 0.881, 0.759)
F (0.671, 0.171, 0.000)
F (0.829, 0.671, 0.000)
F (0.881, 0.381, 0.241)
F (0.881, 0.381, 0.759)

---

Record 4
Compound: Tc2Hg2O5
Source: OQMD via LeMat-Bulk
Functional: PBE
Structure: optimized geometry

Properties
SG ... P4/mmm (123)
Total DFT energy (no corrections) ... -51.8 eV/cell
ΔE to the lowest computed polymorph ... 0.0000 eV per atom

Cell lengths 3.778, 3.778, 9.309 Å; angles 90.00, 90.00, 90.00 degrees
Sites, in units of the cell vectors:
Tc (0.000, 0.000, 0.225)
Tc (0.000, 0.000, 0.775)
Hg (0.500, 0.500, 0.000)
Hg (0.500, 0.500, 0.500)
O (0.000, 0.000, 0.000)
O (0.000, 0.500, 0.235)
O (0.000, 0.500, 0.765)
O (0.500, 0.000, 0.235)
O (0.500, 0.000, 0.765)

---

Question: Among the records above, which one has the lowest total DFT energy (no corrections)?
Answer: Al5W7

---

Question: Look up the total DFT energy (no corrections) of the second one.
Answer: -212.2 eV/cell

---

Please write out number 4 again, unchanged.
Compound: Tc2Hg2O5
Source: OQMD via LeMat-Bulk
Functional: PBE
Structure: optimized geometry

Properties
SG ... P4/mmm (123)
Total DFT energy (no corrections) ... -51.8 eV/cell
ΔE to the lowest computed polymorph ... 0.0000 eV per atom

Cell lengths 3.778, 3.778, 9.309 Å; angles 90.00, 90.00, 90.00 degrees
Sites, in units of the cell vectors:
Tc (0.000, 0.000, 0.225)
Tc (0.000, 0.000, 0.775)
Hg (0.500, 0.500, 0.000)
Hg (0.500, 0.500, 0.500)
O (0.000, 0.000, 0.000)
O (0.000, 0.500, 0.235)
O (0.000, 0.500, 0.765)
O (0.500, 0.000, 0.235)
O (0.500, 0.000, 0.765)

---

Repeat the second record exactly.
Compound: Al5W7
Source: OQMD via LeMat-Bulk
Functional: PBE
Structure: optimized geometry

Properties
SG ... P6_3/mmc (194)
Total DFT energy (no corrections) ... -212.2 eV/cell
ΔE to the lowest computed polymorph ... 0.0800 eV per atom

Cell lengths 5.146, 5.146, 17.218 Å; angles 90.00, 90.00, 120.00 degrees
Sites, in units of the cell vectors:
Al (0.000, 0.000, 0.088)
Al (0.000, 0.000, 0.412)
Al (0.000, 0.000, 0.588)
Al (0.000, 0.000, 0.912)
Al (0.162, 0.325, 0.250)
Al (0.162, 0.838, 0.250)
Al (0.325, 0.162, 0.750)
Al (0.675, 0.838, 0.250)
Al (0.838, 0.162, 0.750)
Al (0.838, 0.675, 0.750)
W (0.000, 0.500, 0.000)
W (0.000, 0.500, 0.500)
W (0.333, 0.667, 0.128)
W (0.333, 0.667, 0.372)
W (0.333, 0.667, 0.649)
W (0.333, 0.667, 0.851)
W (0.500, 0.000, 0.000)
W (0.500, 0.000, 0.500)
W (0.500, 0.500, 0.000)
W (0.500, 0.500, 0.500)
W (0.667, 0.333, 0.149)
W (0.667, 0.333, 0.351)
W (0.667, 0.333, 0.628)
W (0.667, 0.333, 0.872)